(1)
# ZrFe2Se PBE relaxed
data_ZrFe2Se
_cell_length_a 5.7373
_cell_length_b 5.7373
_cell_length_c 5.7373
_cell_angle_alpha 101.88
_cell_angle_beta 101.88
_cell_angle_gamma 126.04
_symmetry_space_group_name_H-M 'P 1'
_symmetry_Int_Tables_number 1
_symmetry_space_group_name_Hall 'P 1'
loop_
_atom_site_label
_atom_site_fract_x
_atom_site_fract_y
_atom_site_fract_z
Zr1 0.0000 0.0000 0.0000
Zr2 0.7500 0.2500 0.5000
Fe1 0.1713 0.1250 0.5463
Fe2 0.3750 0.8287 0.9537
Fe3 0.5787 0.6250 0.4537
Fe4 0.8750 0.4213 0.0463
Se1 0.2500 0.7500 0.5000
Se2 0.5000 0.5000 0.0000
# SG: I-42d, No. 122
# VASP energy: -57.04 eV/cell
# Density: 6.9 g cm⁻³
# V: 136.08 Å³/cell
# Formation energy without anion corrections: 0.109 eV/atom

***

(2)
# HfIn2Fe PBE relaxed
data_HfIn2Fe
_cell_length_a 4.7154
_cell_length_b 4.7154
_cell_length_c 4.7154
_cell_angle_alpha 60.00
_cell_angle_beta 60.00
_cell_angle_gamma 60.00
_symmetry_space_group_name_H-M 'P 1'
_symmetry_Int_Tables_number 1
_symmetry_space_group_name_Hall 'P 1'
loop_
_atom_site_label
_atom_site_fract_x
_atom_site_fract_y
_atom_site_fract_z
Hf1 0.0000 0.0000 0.0000
In1 0.2500 0.2500 0.2500
In2 0.7500 0.7500 0.7500
Fe1 0.5000 0.5000 0.5000
# SG: Fm-3m, No. 225
# VASP energy: -22.69 eV/cell
# Density: 10.4 g cm⁻³
# V: 74.14 Å³/cell
# E_form: 0.30 eV/atom

***

(3)
# Tb7DyEr4 PBE relaxed
data_Tb7DyEr4
_cell_length_a 6.1735
_cell_length_b 7.1311
_cell_length_c 8.7804
_cell_angle_alpha 89.99
_cell_angle_beta 76.29
_cell_angle_gamma 89.91
_symmetry_space_group_name_H-M 'P 1'
_symmetry_Int_Tables_number 1
_symmetry_space_group_name_Hall 'P 1'
loop_
_atom_site_label
_atom_site_fract_x
_atom_site_fract_y
_atom_site_fract_z
Tb1 0.0000 0.0000 0.0000
Tb2 0.2214 0.5002 0.3342
Tb3 0.2792 0.2492 0.6654
Tb4 0.5003 0.2488 0.0003
Tb5 0.4997 0.7512 0.9997
Tb6 0.7208 0.7508 0.3346
Tb7 0.7786 0.4998 0.6658
Dy1 0.0000 0.5000 0.0000
Er1 0.2206 0.0002 0.3345
Er2 0.2786 0.7506 0.6661
Er3 0.7214 0.2494 0.3339
Er4 0.7794 0.9998 0.6655
# SG: P-1, No. 2
# VASP energy: -55.29 eV/cell
# Density: 8.6 g cm⁻³
# V: 375.54 Å³/cell
# E_form: 0.00 eV/atom

***

(4)
# Cd2PbAu PBE relaxed
data_Cd2PbAu
_cell_length_a 4.4564
_cell_length_b 4.4564
_cell_length_c 4.7302
_cell_angle_alpha 90.00
_cell_angle_beta 90.00
_cell_angle_gamma 90.00
_symmetry_space_group_name_H-M 'P 1'
_symmetry_Int_Tables_number 1
_symmetry_space_group_name_Hall 'P 1'
loop_
_atom_site_label
_atom_site_fract_x
_atom_site_fract_y
_atom_site_fract_z
Cd1 0.0000 0.5000 0.0000
Cd2 0.5000 0.0000 0.0000
Pb1 0.0000 0.0000 0.5000
Au1 0.5000 0.5000 0.5000
# SG: P4/mmm, No. 123
# VASP energy: -8.79 eV/cell
# Density: 11.1 g cm⁻³
# V: 93.94 Å³/cell
# E_form: 0.01 eV/atom

***

(5)
# Rb2Ca3Br8 PBE relaxed
data_Rb2Ca3Br8
_cell_length_a 9.4176
_cell_length_b 9.4176
_cell_length_c 7.5256
_cell_angle_alpha 106.27
_cell_angle_beta 106.27
_cell_angle_gamma 55.45
_symmetry_space_group_name_H-M 'P 1'
_symmetry_Int_Tables_number 1
_symmetry_space_group_name_Hall 'P 1'
loop_
_atom_site_label
_atom_site_fract_x
_atom_site_fract_y
_atom_site_fract_z
Rb1 0.2316 0.2316 0.1651
Rb2 0.7684 0.7684 0.8349
Ca1 0.2416 0.7584 0.5000
Ca2 0.5000 0.5000 0.0000
Ca3 0.7584 0.2416 0.5000
Br1 0.1094 0.1094 0.4552
Br2 0.1704 0.6239 0.1085
Br3 0.3761 0.8296 0.8915
Br4 0.4010 0.4010 0.5974
Br5 0.5990 0.5990 0.4026
Br6 0.6239 0.1704 0.1085
Br7 0.8296 0.3761 0.8915
Br8 0.8906 0.8906 0.5448
# SG: C2/m, No. 12
# VASP energy: -46.94 eV/cell
# Density: 3.0 g cm⁻³
# V: 521.48 Å³/cell
# Formation energy without anion corrections: -1.971 eV/atom

***

(6)
# Ac4InHg2Pb PBE relaxed
data_Ac4InHg2Pb
_cell_length_a 10.0480
_cell_length_b 10.0480
_cell_length_c 10.0480
_cell_angle_alpha 33.52
_cell_angle_beta 33.52
_cell_angle_gamma 33.52
_symmetry_space_group_name_H-M 'P 1'
_symmetry_Int_Tables_number 1
_symmetry_space_group_name_Hall 'P 1'
loop_
_atom_site_label
_atom_site_fract_x
_atom_site_fract_y
_atom_site_fract_z
Ac1 0.1246 0.1246 0.1246
Ac2 0.3747 0.3747 0.3747
Ac3 0.6253 0.6253 0.6253
Ac4 0.8754 0.8754 0.8754
In1 0.0000 0.0000 0.0000
Hg1 0.2536 0.2536 0.2536
Hg2 0.7464 0.7464 0.7464
Pb1 0.5000 0.5000 0.5000
# SG: R-3m, No. 166
# VASP energy: -27.19 eV/cell
# Density: 9.8 g cm⁻³
# V: 275.53 Å³/cell
# E_form: -0.46 eV/atom

***

(7)
# KPaGeN3 PBE relaxed
data_KPaGeN3
_cell_length_a 7.9817
_cell_length_b 3.7303
_cell_length_c 8.1115
_cell_angle_alpha 90.00
_cell_angle_beta 104.79
_cell_angle_gamma 90.00
_symmetry_space_group_name_H-M 'P 1'
_symmetry_Int_Tables_number 1
_symmetry_space_group_name_Hall 'P 1'
loop_
_atom_site_label
_atom_site_fract_x
_atom_site_fract_y
_atom_site_fract_z
K1 0.1858 0.2500 0.2105
K2 0.8142 0.7500 0.7895
Pa1 0.3491 0.7500 0.8460
Pa2 0.6509 0.2500 0.1540
Ge1 0.1030 0.2500 0.5961
Ge2 0.8970 0.7500 0.4039
N1 0.1585 0.7500 0.5260
N2 0.1655 0.2500 0.8377
N3 0.4697 0.7500 0.1207
N4 0.5303 0.2500 0.8793
N5 0.8345 0.7500 0.1623
N6 0.8415 0.2500 0.4740
# SG: P2_1/m, No. 11
# VASP energy: -87.09 eV/cell
# Density: 5.5 g cm⁻³
# V: 233.51 Å³/cell
# Formation energy without anion corrections: -0.560 eV/atom

***

(8)
# Be3IrO PBE relaxed
data_Be3IrO
_cell_length_a 3.5560
_cell_length_b 3.5560
_cell_length_c 3.5560
_cell_angle_alpha 90.00
_cell_angle_beta 90.00
_cell_angle_gamma 90.00
_symmetry_space_group_name_H-M 'P 1'
_symmetry_Int_Tables_number 1
_symmetry_space_group_name_Hall 'P 1'
loop_
_atom_site_label
_atom_site_fract_x
_atom_site_fract_y
_atom_site_fract_z
Be1 0.0000 0.0000 0.5000
Be2 0.0000 0.5000 0.0000
Be3 0.5000 0.0000 0.0000
Ir1 0.5000 0.5000 0.5000
O1 0.0000 0.0000 0.0000
# ΔE to the lowest computed polymorph: 0 meV/atom
# SG: Pm-3m, No. 221
# VASP energy: -28.68 eV/cell
# Density: 8.7 g cm⁻³
# V: 44.97 Å³/cell
# Formation energy without anion corrections: -0.737 eV/atom

***

(9)
# Cs3Tl12Au5 PBE relaxed
data_Cs3Tl12Au5
_cell_length_a 16.3355
_cell_length_b 16.3355
_cell_length_c 16.3355
_cell_angle_alpha 109.47
_cell_angle_beta 109.47
_cell_angle_gamma 109.47
_symmetry_space_group_name_H-M 'P 1'
_symmetry_Int_Tables_number 1
_symmetry_space_group_name_Hall 'P 1'
loop_
_atom_site_label
_atom_site_fract_x
_atom_site_fract_y
_atom_site_fract_z
Cs1 0.1250 0.2500 0.3750
Cs2 0.1250 0.3750 0.7500
Cs3 0.2500 0.3750 0.1250
Cs4 0.2500 0.8750 0.6250
Cs5 0.3750 0.1250 0.2500
Cs6 0.3750 0.7500 0.1250
Cs7 0.6250 0.2500 0.8750
Cs8 0.6250 0.8750 0.7500
Cs9 0.7500 0.1250 0.3750
Cs10 0.7500 0.6250 0.8750
Cs11 0.8750 0.6250 0.2500
Cs12 0.8750 0.7500 0.6250
Tl1 0.0189 0.6966 0.0653
Tl2 0.0189 0.8223 0.9536
Tl3 0.0464 0.5653 0.8687
Tl4 0.0464 0.9811 0.1777
Tl5 0.0653 0.0189 0.6966
Tl6 0.0653 0.5464 0.3687
Tl7 0.1313 0.6777 0.6966
Tl8 0.1313 0.9536 0.4347
Tl9 0.1777 0.0464 0.9811
Tl10 0.1777 0.6313 0.1966
Tl11 0.1966 0.1777 0.6313
Tl12 0.1966 0.5189 0.5653
Tl13 0.3034 0.8687 0.3223
Tl14 0.3034 0.9347 0.9811
Tl15 0.3223 0.3034 0.8687
Tl16 0.3223 0.5189 0.4536
Tl17 0.3687 0.0653 0.5464
Tl18 0.3687 0.8034 0.8223
Tl19 0.4347 0.1313 0.9536
Tl20 0.4347 0.8034 0.4811
Tl21 0.4536 0.3223 0.5189
Tl22 0.4536 0.6313 0.9347
Tl23 0.4811 0.4347 0.8034
Tl24 0.4811 0.5464 0.6777
Tl25 0.5189 0.4536 0.3223
Tl26 0.5189 0.5653 0.1966
Tl27 0.5464 0.3687 0.0653
Tl28 0.5464 0.6777 0.4811
Tl29 0.5653 0.1966 0.5189
Tl30 0.5653 0.8687 0.0464
Tl31 0.6313 0.1966 0.1777
Tl32 0.6313 0.9347 0.4536
Tl33 0.6777 0.4811 0.5464
Tl34 0.6777 0.6966 0.1313
Tl35 0.6966 0.0653 0.0189
Tl36 0.6966 0.1313 0.6777
Tl37 0.8034 0.4811 0.4347
Tl38 0.8034 0.8223 0.3687
Tl39 0.8223 0.3687 0.8034
Tl40 0.8223 0.9536 0.0189
Tl41 0.8687 0.0464 0.5653
Tl42 0.8687 0.3223 0.3034
Tl43 0.9347 0.4536 0.6313
Tl44 0.9347 0.9811 0.3034
Tl45 0.9536 0.0189 0.8223
Tl46 0.9536 0.4347 0.1313
Tl47 0.9811 0.1777 0.0464
Tl48 0.9811 0.3034 0.9347
Au1 0.0000 0.0000 0.0000
Au2 0.0000 0.0000 0.5000
Au3 0.0000 0.5000 0.0000
Au4 0.0000 0.5000 0.5000
Au5 0.1250 0.7500 0.8750
Au6 0.1250 0.8750 0.2500
Au7 0.2500 0.1250 0.8750
Au8 0.2500 0.6250 0.3750
Au9 0.3750 0.2500 0.6250
Au10 0.3750 0.6250 0.7500
Au11 0.5000 0.0000 0.0000
Au12 0.5000 0.0000 0.5000
Au13 0.5000 0.5000 0.0000
Au14 0.5000 0.5000 0.5000
Au15 0.6250 0.3750 0.2500
Au16 0.6250 0.7500 0.3750
Au17 0.7500 0.3750 0.6250
Au18 0.7500 0.8750 0.1250
Au19 0.8750 0.1250 0.7500
Au20 0.8750 0.2500 0.1250
# SG: Ia-3d, No. 230
# VASP energy: -187.82 eV/cell
# Density: 7.6 g cm⁻³
# V: 3355.65 Å³/cell
# E_form: 0.02 eV/atom

***

(10)
# LiAcZn PBE relaxed
data_LiAcZn
_cell_length_a 4.9354
_cell_length_b 4.9354
_cell_length_c 3.7673
_cell_angle_alpha 90.00
_cell_angle_beta 90.00
_cell_angle_gamma 120.00
_symmetry_space_group_name_H-M 'P 1'
_symmetry_Int_Tables_number 1
_symmetry_space_group_name_Hall 'P 1'
loop_
_atom_site_label
_atom_site_fract_x
_atom_site_fract_y
_atom_site_fract_z
Li1 0.0000 0.0000 0.0000
Ac1 0.6667 0.3333 0.5000
Zn1 0.3333 0.6667 0.0000
# ΔE to the lowest computed polymorph: 0 meV/atom
# SG: P-6m2, No. 187
# VASP energy: -7.65 eV/cell
# Density: 6.3 g cm⁻³
# V: 79.47 Å³/cell
# E_form: -0.12 eV/atom

***

(11)
# SiBrCl2 PBE relaxed
data_SiBrCl2
_cell_length_a 9.0714
_cell_length_b 9.0714
_cell_length_c 9.0714
_cell_angle_alpha 23.62
_cell_angle_beta 23.62
_cell_angle_gamma 23.62
_symmetry_space_group_name_H-M 'P 1'
_symmetry_Int_Tables_number 1
_symmetry_space_group_name_Hall 'P 1'
loop_
_atom_site_label
_atom_site_fract_x
_atom_site_fract_y
_atom_site_fract_z
Si1 0.0000 0.0000 0.0000
Br1 0.2717 0.2717 0.2717
Cl1 0.5019 0.5019 0.5019
Cl2 0.7218 0.7218 0.7218
# ΔE to the lowest computed polymorph: 573 meV/atom
# SG: R3m, No. 160
# VASP energy: -10.90 eV/cell
# Density: 2.8 g cm⁻³
# V: 105.21 Å³/cell
# Formation energy without anion corrections: -0.029 eV/atom

***

(12)
# SrFe2Ni PBE relaxed
data_SrFe2Ni
_cell_length_a 5.4502
_cell_length_b 5.4502
_cell_length_c 2.8327
_cell_angle_alpha 101.25
_cell_angle_beta 101.25
_cell_angle_gamma 121.85
_symmetry_space_group_name_H-M 'P 1'
_symmetry_Int_Tables_number 1
_symmetry_space_group_name_Hall 'P 1'
loop_
_atom_site_label
_atom_site_fract_x
_atom_site_fract_y
_atom_site_fract_z
Sr1 0.0000 0.0000 0.0000
Fe1 0.0000 0.5000 0.5000
Fe2 0.5000 0.0000 0.5000
Ni1 0.5000 0.5000 0.0000
# SG: C2/m, No. 12
# VASP energy: -21.18 eV/cell
# Density: 6.5 g cm⁻³
# V: 65.46 Å³/cell
# E_form: 0.80 eV/atom

***

(13)
# KCa2O2 PBE relaxed
data_KCa2O2
_cell_length_a 7.3064
_cell_length_b 7.3064
_cell_length_c 7.3064
_cell_angle_alpha 144.59
_cell_angle_beta 144.59
_cell_angle_gamma 50.95
_symmetry_space_group_name_H-M 'P 1'
_symmetry_Int_Tables_number 1
_symmetry_space_group_name_Hall 'P 1'
loop_
_atom_site_label
_atom_site_fract_x
_atom_site_fract_y
_atom_site_fract_z
K1 0.0000 0.0000 0.0000
Ca1 0.2931 0.2931 0.0000
Ca2 0.7069 0.7069 0.0000
O1 0.2500 0.7500 0.5000
O2 0.7500 0.2500 0.5000
# SG: I4/mmm, No. 139
# VASP energy: -25.23 eV/cell
# Density: 1.9 g cm⁻³
# V: 130.27 Å³/cell
# Formation energy without anion corrections: -2.043 eV/atom

***

(14)
# KCu PBE relaxed
data_KCu
_cell_length_a 6.0131
_cell_length_b 6.0131
_cell_length_c 4.6088
_cell_angle_alpha 90.00
_cell_angle_beta 90.00
_cell_angle_gamma 128.46
_symmetry_space_group_name_H-M 'P 1'
_symmetry_Int_Tables_number 1
_symmetry_space_group_name_Hall 'P 1'
loop_
_atom_site_label
_atom_site_fract_x
_atom_site_fract_y
_atom_site_fract_z
K1 0.1538 0.8462 0.7500
K2 0.8462 0.1538 0.2500
Cu1 0.4747 0.5253 0.7500
Cu2 0.5253 0.4747 0.2500
# ΔE to the lowest computed polymorph: 52 meV/atom
# SG: Cmcm, No. 63
# VASP energy: -9.21 eV/cell
# Density: 2.6 g cm⁻³
# V: 130.49 Å³/cell
# E_form: 0.30 eV/atom

***

(15)
# EuScRh2 PBE relaxed
data_EuScRh2
_cell_length_a 3.2776
_cell_length_b 3.2776
_cell_length_c 7.1230
_cell_angle_alpha 90.00
_cell_angle_beta 90.00
_cell_angle_gamma 90.00
_symmetry_space_group_name_H-M 'P 1'
_symmetry_Int_Tables_number 1
_symmetry_space_group_name_Hall 'P 1'
loop_
_atom_site_label
_atom_site_fract_x
_atom_site_fract_y
_atom_site_fract_z
Eu1 0.0000 0.0000 0.0000
Sc1 0.0000 0.0000 0.5000
Rh1 0.5000 0.5000 0.2853
Rh2 0.5000 0.5000 0.7147
# ΔE to the lowest computed polymorph: 0 meV/atom
# SG: P4/mmm, No. 123
# VASP energy: -34.00 eV/cell
# Density: 8.7 g cm⁻³
# V: 76.52 Å³/cell
# E_form: -0.67 eV/atom

***

(16)
# Sr2Al4CdHg3 PBE relaxed
data_Sr2Al4CdHg3
_cell_length_a 4.5790
_cell_length_b 4.5790
_cell_length_c 11.4927
_cell_angle_alpha 90.00
_cell_angle_beta 90.00
_cell_angle_gamma 90.00
_symmetry_space_group_name_H-M 'P 1'
_symmetry_Int_Tables_number 1
_symmetry_space_group_name_Hall 'P 1'
loop_
_atom_site_label
_atom_site_fract_x
_atom_site_fract_y
_atom_site_fract_z
Sr1 0.0000 0.5000 0.2496
Sr2 0.5000 0.0000 0.7504
Al1 0.0000 0.0000 0.0000
Al2 0.0000 0.5000 0.6360
Al3 0.5000 0.0000 0.3640
Al4 0.5000 0.5000 0.0000
Cd1 0.0000 0.0000 0.5000
Hg1 0.0000 0.5000 0.8660
Hg2 0.5000 0.0000 0.1340
Hg3 0.5000 0.5000 0.5000
# SG: P-4m2, No. 115
# VASP energy: -22.78 eV/cell
# Density: 6.9 g cm⁻³
# V: 240.97 Å³/cell
# E_form: -0.26 eV/atom

***

(17)
# SrPmMgGa PBE relaxed
data_SrPmMgGa
_cell_length_a 5.4712
_cell_length_b 5.4712
_cell_length_c 5.4712
_cell_angle_alpha 60.00
_cell_angle_beta 60.00
_cell_angle_gamma 60.00
_symmetry_space_group_name_H-M 'P 1'
_symmetry_Int_Tables_number 1
_symmetry_space_group_name_Hall 'P 1'
loop_
_atom_site_label
_atom_site_fract_x
_atom_site_fract_y
_atom_site_fract_z
Sr1 0.0000 0.0000 0.0000
Pm1 0.5000 0.5000 0.5000
Mg1 0.7500 0.7500 0.7500
Ga1 0.2500 0.2500 0.2500
# SG: F-43m, No. 216
# VASP energy: -11.93 eV/cell
# Density: 4.7 g cm⁻³
# V: 115.81 Å³/cell
# E_form: -0.22 eV/atom

***

(18)
# SrSnPd2 PBE relaxed
data_SrSnPd2
_cell_length_a 7.9137
_cell_length_b 7.2006
_cell_length_c 6.5169
_cell_angle_alpha 90.00
_cell_angle_beta 90.00
_cell_angle_gamma 90.00
_symmetry_space_group_name_H-M 'P 1'
_symmetry_Int_Tables_number 1
_symmetry_space_group_name_Hall 'P 1'
loop_
_atom_site_label
_atom_site_fract_x
_atom_site_fract_y
_atom_site_fract_z
Sr1 0.0181 0.2500 0.1586
Sr2 0.4819 0.7500 0.6586
Sr3 0.5181 0.2500 0.3414
Sr4 0.9819 0.7500 0.8414
Sn1 0.1320 0.7500 0.3424
Sn2 0.3680 0.2500 0.8424
Sn3 0.6320 0.7500 0.1576
Sn4 0.8680 0.2500 0.6576
Pd1 0.1668 0.0558 0.5806
Pd2 0.1668 0.4442 0.5806
Pd3 0.3332 0.5558 0.0806
Pd4 0.3332 0.9442 0.0806
Pd5 0.6668 0.0558 0.9194
Pd6 0.6668 0.4442 0.9194
Pd7 0.8332 0.5558 0.4194
Pd8 0.8332 0.9442 0.4194
# SG: Pnma, No. 62
# VASP energy: -75.77 eV/cell
# Density: 7.5 g cm⁻³
# V: 371.35 Å³/cell
# E_form: -0.72 eV/atom

***

(19)
# Sm2HoInC PBE relaxed
data_Sm2HoInC
_cell_length_a 5.0614
_cell_length_b 5.0614
_cell_length_c 4.9002
_cell_angle_alpha 90.00
_cell_angle_beta 90.00
_cell_angle_gamma 90.00
_symmetry_space_group_name_H-M 'P 1'
_symmetry_Int_Tables_number 1
_symmetry_space_group_name_Hall 'P 1'
loop_
_atom_site_label
_atom_site_fract_x
_atom_site_fract_y
_atom_site_fract_z
Sm1 0.0000 0.5000 0.0000
Sm2 0.5000 0.0000 0.0000
Ho1 0.0000 0.0000 0.5000
In1 0.5000 0.5000 0.5000
C1 0.0000 0.0000 0.0000
# SG: P4/mmm, No. 123
# VASP energy: -28.10 eV/cell
# Density: 7.8 g cm⁻³
# V: 125.53 Å³/cell
# E_form: -0.42 eV/atom

***

(20)
# DyYAu4 PBE relaxed
data_DyYAu4
_cell_length_a 5.2614
_cell_length_b 5.2614
_cell_length_c 5.2983
_cell_angle_alpha 90.00
_cell_angle_beta 90.00
_cell_angle_gamma 119.40
_symmetry_space_group_name_H-M 'P 1'
_symmetry_Int_Tables_number 1
_symmetry_space_group_name_Hall 'P 1'
loop_
_atom_site_label
_atom_site_fract_x
_atom_site_fract_y
_atom_site_fract_z
Dy1 0.0000 0.0000 0.0000
Y1 0.5000 0.5000 0.5000
Au1 0.1646 0.8354 0.5000
Au2 0.3350 0.6650 0.0000
Au3 0.6650 0.3350 0.0000
Au4 0.8354 0.1646 0.5000
# SG: Cmmm, No. 65
# VASP energy: -29.33 eV/cell
# Density: 13.5 g cm⁻³
# V: 127.79 Å³/cell
# E_form: -0.86 eV/atom